Entry 1:
Density functional theory data (PBE-GGA) for crystalline Ce2PaO at its relaxed geometry.

Values from the calculation:
The value obtained for the energy relative to the elements, uncorrected is -931 meV per atom. The calculated total energy comes out at -30.048 eV per formula unit. The calculation puts the energy relative to the lowest polymorph listed for this composition at 0.00 eV/f.u. The crystal system is tetragonal.

Cell: 3.035 3.035 8.606 Å, 90.00 90.00 90.00°
Last column: magnetic moment on the atom in μB.
Element x y z (fractional)
Pa 0.500 0.500 0.500  0.21
O 0.500 0.500 0.000  -0.01
Ce 0.000 0.000 0.816  0.41
Ce 0.000 0.000 0.184  0.41

=====

Entry 2:
Density functional theory data (PBE-GGA) for crystalline CePa2PbO8 at its relaxed geometry.

Values from the calculation:
The value obtained for the energy relative to the elements, uncorrected is -3154 meV per atom. The calculated total energy comes out at -106.142 eV per formula unit. The crystal system is tetragonal.

Cell: 5.531 5.531 6.713 Å, 114.33 114.33 90.00°
Last column: magnetic moment on the atom in μB.
Element x y z (fractional)
Ce 0.000 0.000 0.000  0.25
Pa 0.500 0.500 0.000  0.00
Pa 0.250 0.750 0.500  0.00
Pb 0.750 0.250 0.500  0.00
O 0.881 0.849 0.240  -0.01
O 0.359 0.391 0.240  -0.01
O 0.609 0.641 0.760  -0.01
O 0.151 0.119 0.760  -0.01
O 0.881 0.391 0.240  -0.01
O 0.359 0.849 0.240  -0.01
O 0.151 0.641 0.760  -0.01
O 0.609 0.119 0.760  -0.01

=====

Entry 3:
Density functional theory data (PBE-GGA) for crystalline CePaPdO6 at its relaxed geometry.

Values from the calculation:
The value obtained for the energy relative to the elements, uncorrected is -2507 meV per atom. The calculated total energy comes out at -72.934 eV per formula unit. The crystal system is trigonal.

Cell: 5.457 5.457 10.184 Å, 90.00 90.00 120.00°
Last column: magnetic moment on the atom in μB.
Element x y z (fractional)
Ce 0.000 0.000 0.000  0.25
Ce 0.000 0.000 0.500  0.25
Pa 0.333 0.667 0.250  0.01
Pa 0.667 0.333 0.750  0.01
Pd 0.667 0.333 0.250  0.48
Pd 0.333 0.667 0.750  0.48
O 0.665 0.655 0.134  0.04
O 0.990 0.335 0.134  0.04
O 0.335 0.990 0.634  0.04
O 0.010 0.665 0.866  0.04
O 0.345 0.335 0.366  0.04
O 0.990 0.655 0.366  0.04
O 0.655 0.990 0.866  0.04
O 0.665 0.010 0.366  0.04
O 0.010 0.345 0.634  0.04
O 0.345 0.010 0.134  0.04
O 0.655 0.665 0.634  0.04
O 0.335 0.345 0.866  0.04

=====

Entry 4:
Density functional theory data (PBE-GGA) for crystalline CePmPaO6 at its relaxed geometry.

Values from the calculation:
The value obtained for the energy relative to the elements, uncorrected is -3365 meV per atom. The calculated total energy comes out at -80.216 eV per formula unit. The crystal system is trigonal.

Cell: 4.706 5.895 5.895 Å, 120.00 90.00 90.00°
Element x y z (fractional)
Ce 0.500 0.000 0.000
Pm 0.500 0.667 0.333
Pa 0.000 0.333 0.667
O 0.746 0.656 0.677
O 0.746 0.323 0.978
O 0.746 0.022 0.344
O 0.254 0.323 0.344
O 0.254 0.656 0.978
O 0.254 0.022 0.677

=====

Entry 5:
Density functional theory data (PBE-GGA) for crystalline CePrPaO6 at its relaxed geometry.

Values from the calculation:
The value obtained for the energy relative to the elements, uncorrected is -3331 meV per atom. The calculated total energy comes out at -79.935 eV per formula unit. The crystal system is trigonal.

Cell: 4.712 5.940 5.940 Å, 120.00 90.00 90.00°
Element x y z (fractional)
Ce 0.500 0.000 0.000
Pr 0.500 0.667 0.333
Pa 0.000 0.333 0.667
O 0.747 0.656 0.682
O 0.747 0.318 0.974
O 0.747 0.026 0.344
O 0.253 0.318 0.344
O 0.253 0.656 0.974
O 0.253 0.026 0.682

=====

Entry 6:
Density functional theory data (PBE-GGA) for crystalline CePaPt2O8 at its relaxed geometry.

Values from the calculation:
The value obtained for the energy relative to the elements, uncorrected is -1769 meV per atom. The calculated total energy comes out at -88.402 eV per formula unit. The crystal system is tetragonal.

Cell: 6.128 6.128 6.128 Å, 109.90 109.90 108.61°
Element x y z (fractional)
Ce 0.250 0.750 0.500
Pa 0.000 0.000 0.000
Pt 0.750 0.250 0.500
Pt 0.500 0.500 0.000
O 0.355 0.037 0.319
O 0.283 0.454 0.171
O 0.283 0.111 0.829
O 0.718 0.037 0.681
O 0.889 0.717 0.171
O 0.963 0.282 0.319
O 0.963 0.645 0.681
O 0.546 0.717 0.829

=====

Entry 7:
Density functional theory data (PBE-GGA) for crystalline CePaPtO6 at its relaxed geometry.

Values from the calculation:
The value obtained for the energy relative to the elements, uncorrected is -2507 meV per atom. The calculated total energy comes out at -73.785 eV per formula unit. The crystal system is trigonal.

Cell: 5.438 5.438 10.394 Å, 90.00 90.00 120.00°
Last column: magnetic moment on the atom in μB.
Element x y z (fractional)
Ce 0.000 0.000 0.000  0.56
Ce 0.000 0.000 0.500  0.56
Pa 0.333 0.667 0.250  0.03
Pa 0.667 0.333 0.750  0.03
Pt 0.667 0.333 0.250  0.31
Pt 0.333 0.667 0.750  0.31
O 0.664 0.650 0.135  0.02
O 0.985 0.336 0.135  0.02
O 0.336 0.985 0.635  0.02
O 0.015 0.664 0.865  0.02
O 0.350 0.336 0.365  0.02
O 0.985 0.650 0.365  0.02
O 0.650 0.985 0.865  0.02
O 0.664 0.015 0.365  0.02
O 0.015 0.350 0.635  0.02
O 0.350 0.015 0.135  0.02
O 0.650 0.664 0.635  0.02
O 0.336 0.350 0.865  0.02

=====

Entry 8:
Density functional theory data (PBE-GGA) for crystalline CePuPaO6 at its relaxed geometry.

Values from the calculation:
The value obtained for the energy relative to the elements, uncorrected is -3259 meV per atom. The calculated total energy comes out at -88.844 eV per formula unit. The crystal system is trigonal.

Cell: 5.980 5.980 9.201 Å, 90.00 90.00 120.00°
Last column: magnetic moment on the atom in μB.
Element x y z (fractional)
Ce 0.667 0.333 0.250  0.38
Ce 0.333 0.667 0.750  0.38
Pu 0.000 0.000 0.000  4.69
Pu 0.000 0.000 0.500  4.69
Pa 0.333 0.667 0.250  0.05
Pa 0.667 0.333 0.750  0.05
O 0.654 0.668 0.133  -0.04
O 0.014 0.346 0.133  -0.04
O 0.346 0.014 0.633  -0.04
O 0.986 0.654 0.867  -0.04
O 0.332 0.346 0.367  -0.04
O 0.014 0.668 0.367  -0.04
O 0.668 0.014 0.867  -0.04
O 0.654 0.986 0.367  -0.04
O 0.986 0.332 0.633  -0.04
O 0.332 0.986 0.133  -0.04
O 0.668 0.654 0.633  -0.04
O 0.346 0.332 0.867  -0.04

=====

Entry 9:
Density functional theory data (PBE-GGA) for crystalline Rb2CePaO6 at its relaxed geometry.

Values from the calculation:
The value obtained for the energy relative to the elements, uncorrected is -2745 meV per atom. The calculated total energy comes out at -74.568 eV per formula unit. The crystal system is cubic.

Cell: 6.267 6.267 6.265 Å, 60.00 60.00 90.00°
Element x y z (fractional)
Rb 0.250 0.750 0.500
Rb 0.750 0.250 0.500
Ce 0.500 0.500 0.000
Pa 0.000 0.000 0.000
O 0.245 0.755 0.000
O 0.755 0.755 0.000
O 0.245 0.245 0.510
O 0.755 0.245 0.000
O 0.245 0.245 0.000
O 0.755 0.755 0.490

=====

Entry 10:
Density functional theory data (PBE-GGA) for crystalline Rb3CePa2O9 at its relaxed geometry.

Values from the calculation:
The value obtained for the energy relative to the elements, uncorrected is -2874 meV per atom. The calculated total energy comes out at -115.563 eV per formula unit. The crystal system is trigonal.

Cell: 6.255 6.255 7.659 Å, 90.00 90.00 120.00°
Element x y z (fractional)
Rb 0.333 0.667 0.664
Rb 0.000 0.000 0.000
Rb 0.667 0.333 0.336
Ce 0.000 0.000 0.500
Pa 0.333 0.667 0.167
Pa 0.667 0.333 0.833
O 0.830 0.170 0.672
O 0.830 0.659 0.672
O 0.341 0.170 0.672
O 0.659 0.830 0.328
O 0.170 0.341 0.328
O 0.170 0.830 0.328
O 0.500 0.000 0.000
O 0.000 0.500 0.000
O 0.500 0.500 0.000

=====

Entry 11:
Density functional theory data (PBE-GGA) for crystalline Rb4CePa3O12 at its relaxed geometry.

Values from the calculation:
The value obtained for the energy relative to the elements, uncorrected is -2940 meV per atom. The calculated total energy comes out at -156.591 eV per formula unit. The crystal system is cubic.

Cell: 7.654 7.654 7.654 Å, 109.47 109.47 109.47°
Element x y z (fractional)
Rb 0.500 0.500 0.500
Rb 0.000 0.000 0.500
Rb 0.500 0.000 0.000
Rb 0.000 0.500 0.000
Ce 0.000 0.000 0.000
Pa 0.500 0.000 0.500
Pa 0.500 0.500 0.000
Pa 0.000 0.500 0.500
O 0.250 0.500 0.750
O 0.743 0.000 0.743
O 0.257 0.000 0.257
O 0.750 0.500 0.250
O 0.743 0.743 0.000
O 0.257 0.257 0.000
O 0.750 0.250 0.500
O 0.250 0.750 0.500
O 0.500 0.250 0.750
O 0.000 0.743 0.743
O 0.500 0.750 0.250
O 0.000 0.257 0.257

=====

Entry 12:
Density functional theory data (PBE-GGA) for crystalline CePaS2O at its relaxed geometry.

Values from the calculation:
The value obtained for the energy relative to the elements, uncorrected is -2345 meV per atom. The calculated total energy comes out at -40.367 eV per formula unit. The crystal system is tetragonal.

Cell: 3.873 3.873 13.344 Å, 90.00 90.00 90.00°
Last column: magnetic moment on the atom in μB.
Element x y z (fractional)
Ce 0.500 0.000 0.597  0.65
Ce 0.000 0.500 0.403  0.65
Pa 0.500 0.000 0.101  -0.01
Pa 0.000 0.500 0.899  -0.01
S 0.000 0.500 0.697  -0.01
S 0.000 0.500 0.112  0.00
S 0.500 0.000 0.888  0.00
S 0.500 0.000 0.303  -0.01
O 0.000 0.000 0.500  -0.03
O 0.500 0.500 0.500  -0.03

=====

| no. | magnetization (μB/f.u.) |
| --- | --- |
| 1 | 1.2 |
| 2 | 0.2 |
| 3 | 1.1 |
| 4 | 0.0 |
| 5 | 0.0 |
| 6 | 0.0 |
| 7 | 1.1 |
| 8 | 5.0 |
| 9 | 0.0 |
| 10 | 0.0 |
| 11 | 0.0 |
| 12 | 0.6 |